No. 1
YAl4NiGe2 (PBE, relaxed); space group = R-3m, No. 166; total moment = 0.000 μB per atom; DFT total energy = -0.3694 Ry per atom
1.0
2.0494 1.1832 10.3044
-2.0494 1.1832 10.3044
0.0000 -2.3664 10.3044
Y Al Ni Ge
1 4 1 2
Cartesian
0.0000 0.0000 0.0000
0.0000 0.0000 5.8468
0.0000 0.0000 13.0534
0.0000 0.0000 17.8599
0.0000 0.0000 25.0664
0.0000 0.0000 15.4566
0.0000 0.0000 8.5625
0.0000 0.0000 22.3507


No. 2
LiAg3PtS4 (PBE, relaxed); space group = P-43m, No. 215; total moment = 0.009 μB per atom; DFT total energy = -0.2698 Ry per atom
1.0
5.9020 0.0000 0.0000
0.0000 5.9020 0.0000
0.0000 0.0000 5.9020
Li Ag Pt S
1 3 1 4
Cartesian
0.0000 0.0000 0.0000
0.0000 2.9510 2.9510
2.9510 0.0000 2.9510
2.9510 2.9510 0.0000
2.9510 2.9510 2.9510
1.5279 1.5279 1.5279
1.5279 4.3741 4.3741
4.3741 1.5279 4.3741
4.3741 4.3741 1.5279